{
  "formula": "PaCoTc",
  "functional": "PBE-GGA",
  "state": "relaxed",
  "lattice": [[-3.569, -1.762, 1.250], [1.388, -0.997, 2.555], [-1.358, 6.341, 5.061]],
  "species": ["Tc", "Tc", "Pa", "Pa", "Co", "Co"],
  "fractional_positions": [[0.750, 0.874, 0.252], [0.250, 0.126, 0.748], [0.250, 0.440, 0.120], [0.750, 0.560, 0.880], [0.750, 0.720, 0.560], [0.250, 0.280, 0.440]],
  "polymorph_energy_mev_per_atom": 581,
  "dos_at_fermi_per_ev_cell": 9.23,
  "formation_enthalpy_0k_ev_per_atom": 0.3288
}